1.
4
Lattice="4.407 0.000 0.000 2.204 3.817 0.000 2.204 1.272 3.598" Properties=species:S:1:pos:R:3 comment="FeAg2W (meta-GGA SCAN, PBEsol geometry)" crystal_system=cubic de_polymorph_ev_per_fu=1.68 ef_mev_per_atom=962.0 space_group=Fm-3m pbc="T T T"
Fe 0.000 0.000 0.000
Ag 6.611 3.817 2.699
Ag 2.204 1.272 0.900
W 4.407 2.545 1.799

=====

2.
4
Lattice="2.640 0.006 0.000 -0.785 2.520 0.000 0.000 0.000 8.828" Properties=species:S:1:pos:R:3 comment="FeAgW2 (meta-GGA SCAN, PBEsol geometry)" crystal_system=orthorhombic de_polymorph_ev_per_fu=0.00 ef_mev_per_atom=431.3 space_group=Cmmm pbc="T T T"
Fe 0.927 1.263 0.000
Ag 0.927 1.263 4.414
W 0.000 0.000 6.809
W 0.000 0.000 2.019

=====

3.
6
Lattice="5.183 0.000 0.000 2.592 4.489 0.000 2.592 1.496 4.232" Properties=species:S:1:pos:R:3 comment="FeAg4W (meta-GGA SCAN, PBEsol geometry)" crystal_system=cubic ef_mev_per_atom=945.1 space_group=F-43m pbc="T T T"
Ag 5.183 1.497 2.645
Ag 5.183 2.992 0.530
Ag 3.888 3.740 2.645
Ag 6.478 3.740 2.645
W 0.000 0.000 0.000
Fe 2.592 1.496 1.058

=====

4.
4
Lattice="2.673 0.000 0.000 0.000 4.819 0.000 0.000 0.000 4.819" Properties=species:S:1:pos:R:3 comment="FeAg2W (meta-GGA SCAN, PBEsol geometry)" crystal_system=tetragonal de_polymorph_ev_per_fu=1.21 ef_mev_per_atom=845.9 space_group=P4/mmm pbc="T T T"
W 1.336 0.000 0.000
Ag 0.000 2.410 0.000
Fe 1.336 2.410 2.410
Ag 0.000 0.000 2.410

=====

5.
4
Lattice="-1.137 3.182 2.071 -2.208 -2.311 2.339 4.905 -0.941 0.347" Properties=species:S:1:pos:R:3 comment="YFe2Ag (meta-GGA SCAN, PBEsol geometry)" crystal_system=tetragonal de_polymorph_ev_per_fu=0.00 ef_mev_per_atom=282.7 space_group=I4/mmm pbc="T T T"
Fe 1.616 -0.253 1.276
Y -0.568 1.591 1.035
Ag -1.104 -1.156 1.169
Fe -0.056 0.182 3.481

=====

6.
4
Lattice="-2.578 -0.789 -1.093 -1.659 -1.918 1.425 -5.399 5.889 4.611" Properties=species:S:1:pos:R:3 comment="YFe2Ag (meta-GGA SCAN, PBEsol geometry)" crystal_system=trigonal de_polymorph_ev_per_fu=1.36 ef_mev_per_atom=621.9 space_group=R-3m pbc="T T T"
Fe -2.355 0.702 1.174
Ag 0.000 0.000 0.000
Y -4.818 1.591 2.471
Fe -7.282 2.479 3.769

=====

7.
4
Lattice="-1.410 1.398 1.870 1.499 -3.950 2.094 3.852 2.773 0.831" Properties=species:S:1:pos:R:3 comment="ZnFeAg2 (meta-GGA SCAN, PBEsol geometry)" crystal_system=monoclinic ef_mev_per_atom=172.5 space_group=C2/m pbc="T T T"
Ag 2.572 1.149 3.069
Ag 1.369 -0.928 1.726
Fe 1.926 1.387 0.416
Zn -0.705 0.699 0.935

=====

8.
4
Lattice="2.711 0.000 0.000 1.356 2.348 0.000 1.356 0.783 8.635" Properties=species:S:1:pos:R:3 comment="Zn2FeAg (meta-GGA SCAN, PBEsol geometry)" crystal_system=trigonal de_polymorph_ev_per_fu=0.18 ef_mev_per_atom=41.4 space_group=R-3m pbc="T T T"
Ag 2.711 1.565 4.318
Zn 1.356 0.783 2.016
Fe 0.000 0.000 0.000
Zn 4.067 2.348 6.619

=====

9.
5
Lattice="-3.252 -0.863 2.726 2.617 -2.562 2.311 1.152 3.383 2.446" Properties=species:S:1:pos:R:3 comment="ZnFe3Ag (meta-GGA SCAN, PBEsol geometry)" crystal_system=cubic ef_mev_per_atom=1132.0 space_group=Pm-3m pbc="T T T"
Zn 0.000 0.000 0.000
Fe 0.576 1.691 1.223
Fe -1.626 -0.432 1.363
Ag 0.258 -0.021 3.741
Fe 1.308 -1.281 1.155

=====

10.
4
Lattice="2.827 0.000 0.000 0.000 4.561 0.000 0.000 0.000 4.561" Properties=species:S:1:pos:R:3 comment="ZnFeAg2 (meta-GGA SCAN, PBEsol geometry)" crystal_system=tetragonal ef_mev_per_atom=219.1 space_group=P4/mmm pbc="T T T"
Ag 0.000 2.281 0.000
Ag 0.000 0.000 2.281
Zn 1.414 0.000 0.000
Fe 1.414 2.281 2.281

=====

11.
4
Lattice="2.666 0.000 0.000 0.000 2.666 0.000 0.000 0.000 7.596" Properties=species:S:1:pos:R:3 comment="Zn2FeAg (meta-GGA SCAN, PBEsol geometry)" crystal_system=tetragonal de_polymorph_ev_per_fu=0.00 ef_mev_per_atom=-3.7 space_group=P4/mmm pbc="T T T"
Ag 1.333 1.333 0.000
Fe 1.333 1.333 3.798
Zn 0.000 0.000 2.070
Zn 0.000 0.000 5.526

=====

12.
4
Lattice="3.042 0.000 0.000 0.000 3.043 0.028 0.000 -0.080 7.459" Properties=species:S:1:pos:R:3 comment="Zr2FeAg (meta-GGA SCAN, PBEsol geometry)" crystal_system=monoclinic de_polymorph_ev_per_fu=0.00 ef_mev_per_atom=-120.3 space_group=P2/m pbc="T T T"
Fe 1.521 1.521 0.014
Zr 0.000 -0.059 5.859
Zr 0.000 3.022 1.628
Ag 1.521 1.481 3.743